1.
A relaxed structure of CaSiW2, computed with GGA-PBE.

a = 3.1298 Å, b = 3.1298 Å, c = 26.6352 Å
α = 90.00°, β = 90.00°, γ = 120.00°
Space group R3m (No. 160, hexagonal axes)
Asymmetric unit:
Ca 0.0000 0.0000 0.0000 (multiplicity 3)
Si 0.0000 0.0000 0.7578 (multiplicity 3)
W 0.0000 0.0000 0.2341 (multiplicity 3)
W 0.0000 0.0000 0.4951 (multiplicity 3)

Values from the calculation:
Crystal system: trigonal
E_form (uncorrected): 0.439 eV per atom

***

2.
A relaxed structure of SmNi3Sn2, computed with GGA-PBE.

a = 9.3536 Å, b = 9.3536 Å, c = 4.2839 Å
α = 90.00°, β = 90.00°, γ = 120.00°
Space group P-62m (No. 189)
Asymmetric unit:
Sm 0.0000 0.0000 0.0000 (multiplicity 1)
Sm 0.3333 0.6667 0.5000 (multiplicity 2)
Ni 0.0000 0.7093 0.5000 (multiplicity 3)
Ni 0.1651 0.3761 0.0000 (multiplicity 6)
Sn 0.0000 0.2590 0.5000 (multiplicity 3)
Sn 0.0000 0.5339 0.0000 (multiplicity 3)

Values from the calculation:
Crystal system: hexagonal
E_form: -2.7 eV per formula unit

***

3.
A relaxed structure of GaBTe2, computed with GGA-PBE.

a = 6.964 Å, b = 6.964 Å, c = 6.964 Å
α = 90.00°, β = 90.00°, γ = 90.00°
Space group Fm-3m (No. 225)
Asymmetric unit:
Ga 0.000 0.000 0.000 (multiplicity 4)
B 0.000 0.000 0.500 (multiplicity 4)
Te 0.250 0.250 0.250 (multiplicity 8)

Values from the calculation:
Crystal system: cubic
E_form (uncorrected): 0.977 eV per atom
Energy relative to the lowest polymorph listed for this composition: 727.7 meV/atom

***

| no. | theoretical density (g cm⁻³) |
| --- | --- |
| 1 | 9.61 |
| 2 | 8.65 |
| 3 | 6.60 |